# Mg2Zn2As

Mg2Zn2As after structural relaxation (GGA-PBE, the Alexandria database).

Computed properties:
Its formation energy is -7.1 meV/atom. The value obtained for the density of states at the Fermi level is 1.8 states/eV/f.u.

extended XYZ file:
```
10
Lattice="7.4401 0.0000 0.0000 0.0000 7.4401 0.0000 0.0000 0.0000 3.3701" Properties=species:S:1:pos:R:3 pbc="T T T"
Mg 1.3230 2.3970 0.0000
Mg 2.3970 6.1171 0.0000
Mg 5.0431 1.3230 0.0000
Mg 6.1171 5.0431 0.0000
Zn 0.9014 4.6214 1.6850
Zn 2.8187 0.9014 1.6850
Zn 4.6214 6.5387 1.6850
Zn 6.5387 2.8187 1.6850
As 0.0000 0.0000 1.6850
As 3.7200 3.7200 1.6850
```